Here is an optimized crystal structure of DyOsPd from OQMD. Energies are from PBE.

Calculated values
For the energy of formation, the calculation gives 0.338 eV/atom.

Cell: 6.332 6.332 6.332 Å, 90.00 90.00 90.00°
Space group F-43m (No. 216)
Symmetry-distinct sites (fractional):
Dy: 0.000 0.000 0.000 [4 per cell]
Os: 0.000 0.000 0.500 [4 per cell]
Pd: 0.250 0.250 0.250 [4 per cell]

Here is an optimized crystal structure of PrDyOs from OQMD. Energies are from PBE.

Calculated values
The value obtained for the distance to the lowest polymorph of the same formula is 0.0 meV/atom. For the energy of formation, the calculation gives 0.702 eV/atom.

Cell: 6.754 6.754 6.754 Å, 90.00 90.00 90.00°
Space group F-43m (No. 216)
Symmetry-distinct sites (fractional):
Pr: 0.000 0.000 0.000 [4 per cell]
Dy: 0.250 0.250 0.750 [4 per cell]
Os: 0.000 0.000 0.500 [4 per cell]

Here is an optimized crystal structure of PrDy3Sc2Te2Os from OQMD. Energies are from PBE.

Cell: 4.000 14.188 8.084 Å, 90.00 90.00 90.00°
Space group Amm2 (No. 38)
Symmetry-distinct sites (fractional):
Pr: 0.000 0.000 0.000 [2 per cell]
Dy: 0.500 0.000 0.625 [2 per cell]
Dy: 0.500 0.199 0.037 [4 per cell]
Sc: 0.000 0.118 0.354 [4 per cell]
Te: 0.000 0.174 0.732 [4 per cell]
Os: 0.500 0.000 0.272 [2 per cell]

Here is an optimized crystal structure of Pr2Dy3ScTe2Os from OQMD. Energies are from PBE.

Cell: 4.050 14.253 8.497 Å, 90.00 90.00 90.00°
Space group Amm2 (No. 38)
Symmetry-distinct sites (fractional):
Pr: 0.000 0.118 0.000 [4 per cell]
Dy: 0.500 0.000 0.705 [2 per cell]
Dy: 0.500 0.191 0.319 [4 per cell]
Sc: 0.000 0.000 0.368 [2 per cell]
Te: 0.000 0.163 0.616 [4 per cell]
Os: 0.500 0.000 0.172 [2 per cell]

Here is an optimized crystal structure of PrDySi4Os2 from OQMD. Energies are from PBE.

Cell: 4.465 4.125 8.203 Å, 90.00 101.99 90.00°
Space group Pm (No. 6)
Symmetry-distinct sites (fractional):
Pr: 0.000 0.000 0.000 [1 per cell]
Dy: 0.180 0.500 0.404 [1 per cell]
Si: 0.251 0.000 0.691 [1 per cell]
Si: 0.548 0.500 0.109 [1 per cell]
Si: 0.625 0.000 0.290 [1 per cell]
Si: 0.920 0.500 0.701 [1 per cell]
Os: 0.468 0.500 0.811 [1 per cell]
Os: 0.702 0.000 0.582 [1 per cell]

Here is an optimized crystal structure of Pr2DyTm3Te2Os from OQMD. Energies are from PBE.

Cell: 4.100 14.527 8.345 Å, 90.00 90.00 90.00°
Space group Amm2 (No. 38)
Symmetry-distinct sites (fractional):
Pr: 0.000 0.203 0.000 [4 per cell]
Dy: 0.000 0.000 0.416 [2 per cell]
Tm: 0.500 0.000 0.021 [2 per cell]
Tm: 0.500 0.120 0.686 [4 per cell]
Te: 0.500 0.160 0.302 [4 per cell]
Os: 0.000 0.000 0.772 [2 per cell]

Here is an optimized crystal structure of PrDy2Tm3Te2Os from OQMD. Energies are from PBE.

Cell: 4.072 14.267 8.355 Å, 90.00 90.00 90.00°
Space group Amm2 (No. 38)
Symmetry-distinct sites (fractional):
Pr: 0.000 0.000 0.000 [2 per cell]
Dy: 0.000 0.194 0.597 [4 per cell]
Tm: 0.500 0.000 0.643 [2 per cell]
Tm: 0.500 0.115 0.285 [4 per cell]
Te: 0.500 0.171 0.900 [4 per cell]
Os: 0.000 0.000 0.421 [2 per cell]

Here is an optimized crystal structure of DyOsPt from OQMD. Energies are from PBE.

Calculated values
For the energy of formation, the calculation gives 0.650 eV/atom.

Cell: 6.360 6.360 6.360 Å, 90.00 90.00 90.00°
Space group F-43m (No. 216)
Symmetry-distinct sites (fractional):
Dy: 0.000 0.000 0.000 [4 per cell]
Os: 0.250 0.250 0.750 [4 per cell]
Pt: 0.250 0.250 0.250 [4 per cell]

Here is an optimized crystal structure of DyTm2Sc3Sb2Os from OQMD. Energies are from PBE.

Cell: 4.165 13.495 7.786 Å, 90.00 90.00 90.00°
Space group Amm2 (No. 38)
Symmetry-distinct sites (fractional):
Dy: 0.000 0.000 0.000 [2 per cell]
Tm: 0.000 0.196 0.589 [4 per cell]
Sc: 0.500 0.000 0.624 [2 per cell]
Sc: 0.500 0.114 0.280 [4 per cell]
Sb: 0.500 0.168 0.893 [4 per cell]
Os: 0.000 0.000 0.398 [2 per cell]

Here is an optimized crystal structure of DyTm3Sc2Sb2Os from OQMD. Energies are from PBE.

Cell: 4.100 13.880 7.953 Å, 90.00 90.00 90.00°
Space group Amm2 (No. 38)
Symmetry-distinct sites (fractional):
Dy: 0.000 0.000 0.000 [2 per cell]
Tm: 0.500 0.000 0.638 [2 per cell]
Tm: 0.500 0.120 0.276 [4 per cell]
Sc: 0.000 0.194 0.587 [4 per cell]
Sb: 0.500 0.171 0.892 [4 per cell]
Os: 0.000 0.000 0.402 [2 per cell]

| no. | raw total energy (eV per atom) | calculated density (g/cm3) |
| --- | --- | --- |
| 1 | -6.66 | 12.01 |
| 2 | -6.17 | 10.64 |
| 3 | -6.13 | 8.42 |
| 4 | -5.91 | 8.53 |
| 5 | -7.42 | 8.95 |
| 6 | -5.77 | 9.33 |
| 7 | -5.74 | 9.70 |
| 8 | -6.64 | 14.14 |
| 9 | -6.52 | 8.11 |
| 10 | -6.20 | 8.75 |